Entry 1:
A relaxed Pm7YSc2 crystal. Source: the Alexandria database, functional PBE-GGA. Values from VASP.

Summary:
E above lowest polymorph = 0.0000 eV per atom
V = 32.176 Å³/atom
energy of formation from the pure elements = 0.06 eV/atom

Quantum ESPRESSO input file:
```
&SYSTEM
  ibrav = 0, nat = 10, ntyp = 3
/
ATOMIC_SPECIES
Pm 145.00 Pm.upf
Y 88.91 Y.upf
Sc 44.96 Sc.upf
ATOMIC_POSITIONS crystal
Pm 0.0000 0.0000 0.0000
Pm 0.1073 0.2161 0.3030
Pm 0.2881 0.5744 0.8749
Pm 0.4113 0.8241 0.2104
Pm 0.5887 0.1759 0.7896
Pm 0.7119 0.4256 0.1251
Pm 0.8927 0.7839 0.6970
Y 0.0000 0.0000 0.5000
Sc 0.3074 0.6160 0.4268
Sc 0.6926 0.3840 0.5732
CELL_PARAMETERS angstrom
3.5301 0.0000 0.0000
-1.7646 8.4132 0.0000
-0.0147 -3.7645 10.8340
```

Entry 2:
A relaxed Zr3Mn crystal. Source: the Alexandria database, functional PBE-GGA. Values from VASP.

Summary:
V = 21.003 Å³/atom
energy of formation from the pure elements = 0.15 eV/atom

Quantum ESPRESSO input file:
```
&SYSTEM
  ibrav = 0, nat = 16, ntyp = 2
/
ATOMIC_SPECIES
Zr 91.22 Zr.upf
Mn 54.94 Mn.upf
ATOMIC_POSITIONS crystal
Zr 0.0000 0.5000 0.0000
Zr 0.0000 0.5000 0.5000
Zr 0.1618 0.3237 0.2500
Zr 0.1618 0.8382 0.2500
Zr 0.3237 0.1618 0.7500
Zr 0.5000 0.0000 0.0000
Zr 0.5000 0.0000 0.5000
Zr 0.5000 0.5000 0.0000
Zr 0.5000 0.5000 0.5000
Zr 0.6763 0.8382 0.2500
Zr 0.8382 0.1618 0.7500
Zr 0.8382 0.6763 0.7500
Mn 0.0000 0.0000 0.0000
Mn 0.0000 0.0000 0.5000
Mn 0.3333 0.6667 0.7500
Mn 0.6667 0.3333 0.2500
CELL_PARAMETERS angstrom
6.2051 0.0000 0.0000
-3.1026 5.3738 0.0000
0.0000 0.0000 10.0778
```

Entry 3:
A relaxed TaRh2W2 crystal. Source: the Alexandria database, functional PBE-GGA. Values from VASP.

Summary:
E above lowest polymorph = 0.2881 eV per atom
V = 17.204 Å³/atom
energy of formation from the pure elements = 0.39 eV/atom

Quantum ESPRESSO input file:
```
&SYSTEM
  ibrav = 0, nat = 5, ntyp = 3
/
ATOMIC_SPECIES
Ta 180.95 Ta.upf
Rh 102.91 Rh.upf
W 183.84 W.upf
ATOMIC_POSITIONS crystal
Ta 0.0000 0.0000 0.0000
Rh 0.2500 0.7500 0.5000
Rh 0.7500 0.2500 0.5000
W 0.3967 0.3967 0.0000
W 0.6033 0.6033 0.0000
CELL_PARAMETERS angstrom
-1.8600 1.8600 6.2165
1.8600 -1.8600 6.2165
1.8600 1.8600 -6.2165
```

Entry 4:
A relaxed Be2Fe5ReMo2 crystal. Source: the Alexandria database, functional PBE-GGA. Values from VASP.

Summary:
V = 11.399 Å³/atom
energy of formation from the pure elements = 0.03 eV/atom

Quantum ESPRESSO input file:
```
&SYSTEM
  ibrav = 0, nat = 20, ntyp = 4
/
ATOMIC_SPECIES
Be 9.01 Be.upf
Fe 55.84 Fe.upf
Re 186.21 Re.upf
Mo 95.94 Mo.upf
ATOMIC_POSITIONS crystal
Be 0.1185 0.3815 0.0000
Be 0.3815 0.8815 0.0000
Be 0.6185 0.1185 0.0000
Be 0.8815 0.6185 0.0000
Fe 0.0000 0.5000 0.5000
Fe 0.0681 0.2110 0.5000
Fe 0.2110 0.9319 0.5000
Fe 0.2890 0.4319 0.5000
Fe 0.4319 0.7110 0.5000
Fe 0.5000 0.0000 0.5000
Fe 0.5681 0.2890 0.5000
Fe 0.7110 0.5681 0.5000
Fe 0.7890 0.0681 0.5000
Fe 0.9319 0.7890 0.5000
Re 0.0000 0.0000 0.0000
Re 0.5000 0.5000 0.0000
Mo 0.1761 0.6761 0.0000
Mo 0.3239 0.1761 0.0000
Mo 0.6761 0.8239 0.0000
Mo 0.8239 0.3239 0.0000
CELL_PARAMETERS angstrom
8.4410 0.0000 0.0000
0.0000 8.4410 0.0000
0.0000 0.0000 3.1996
```

Entry 5:
A relaxed NbGa crystal. Source: the Alexandria database, functional PBE-GGA. Values from VASP.

Summary:
V = 31.184 Å³/atom
energy of formation from the pure elements = 1.42 eV/atom

Quantum ESPRESSO input file:
```
&SYSTEM
  ibrav = 0, nat = 12, ntyp = 2
/
ATOMIC_SPECIES
Nb 92.91 Nb.upf
Ga 69.72 Ga.upf
ATOMIC_POSITIONS crystal
Nb 0.0000 0.2500 0.5000
Nb 0.0000 0.7500 0.5000
Nb 0.2500 0.5000 0.0000
Nb 0.5000 0.0000 0.2500
Nb 0.5000 0.0000 0.7500
Nb 0.7500 0.5000 0.0000
Ga 0.0000 0.5000 0.2500
Ga 0.0000 0.5000 0.7500
Ga 0.2500 0.0000 0.5000
Ga 0.5000 0.2500 0.0000
Ga 0.5000 0.7500 0.0000
Ga 0.7500 0.0000 0.5000
CELL_PARAMETERS angstrom
7.2062 0.0000 0.0000
0.0000 7.2062 0.0000
0.0000 0.0000 7.2062
```

Entry 6:
A relaxed Sm12TmTh5 crystal. Source: the Alexandria database, functional PBE-GGA. Values from VASP.

Summary:
V = 33.184 Å³/atom
energy of formation from the pure elements = 0.03 eV/atom

Quantum ESPRESSO input file:
```
&SYSTEM
  ibrav = 0, nat = 18, ntyp = 3
/
ATOMIC_SPECIES
Sm 150.36 Sm.upf
Tm 168.93 Tm.upf
Th 232.04 Th.upf
ATOMIC_POSITIONS crystal
Sm 0.0073 0.3267 0.5000
Sm 0.1590 0.8410 0.0000
Sm 0.1732 0.4945 0.0000
Sm 0.3267 0.0073 0.5000
Sm 0.3357 0.6643 0.5000
Sm 0.4945 0.1732 0.0000
Sm 0.5055 0.8268 0.0000
Sm 0.6643 0.3357 0.5000
Sm 0.6733 0.9927 0.5000
Sm 0.8268 0.5055 0.0000
Sm 0.8410 0.1590 0.0000
Sm 0.9927 0.6733 0.5000
Tm 0.5000 0.5000 0.0000
Th 0.0000 0.0000 0.5000
Th 0.1685 0.1685 0.0000
Th 0.3354 0.3354 0.5000
Th 0.6646 0.6646 0.5000
Th 0.8315 0.8315 0.0000
CELL_PARAMETERS angstrom
7.6345 -7.6669 0.0000
7.6345 7.6669 0.0000
0.0000 0.0000 5.1023
```